First-principles (GGA-PBE) data for a relaxed SrAcTeRh crystal, as listed in the Alexandria database.

ΔE_f (raw), meV/atom: -717
DFT total energy, Ha/atom: -0.1760

a = 7.771 Å, b = 7.771 Å, c = 7.771 Å
α = 90.00°, β = 90.00°, γ = 90.00°
Space group F-43m (No. 216)
Inequivalent atoms, fractional coordinates:
Sr1 0.000 0.000 0.000
Ac1 0.000 0.000 0.500
Te1 0.250 0.250 0.250
Rh1 0.250 0.250 0.750



First-principles (GGA-PBE) data for a relaxed YThPb2 crystal, as listed in the Alexandria database.

Distance to the lowest polymorph of the same formula, eV/atom: 0.106
DFT formation energy, eV/atom: -0.27
DFT total energy, Ha/atom: -0.2058

a = 7.803 Å, b = 7.803 Å, c = 7.803 Å
α = 90.00°, β = 90.00°, γ = 90.00°
Space group Fm-3m (No. 225)
Inequivalent atoms, fractional coordinates:
Y1 0.000 0.000 0.000
Th1 0.000 0.000 0.500
Pb1 0.250 0.250 0.250